Record 1
# Ho3AlSe6, optimized geometry, DFT PBE
# - DFT total energy (eV/atom) = -5.4462
# - energy relative to the elements, uncorrected (meV per atom) = -1608
# - density (g/cm3) = 6.3
data_Ho3AlSe6
_space_group_name_H-M_alt 'C m c 21'
_space_group_IT_number 36
_space_group_name_Hall 'C 2c -2'
_cell_length_a 11.1520
_cell_length_b 13.8942
_cell_length_c 6.7380
_cell_angle_alpha 90.00
_cell_angle_beta 90.00
_cell_angle_gamma 90.00
loop_
_atom_site_label
_atom_site_fract_x
_atom_site_fract_y
_atom_site_fract_z
Ho1 0.0000 0.0964 0.0000
Ho2 0.1835 0.4018 0.9006
Al1 0.0000 0.2977 0.3624
Se1 0.0000 0.2819 0.7180
Se2 0.0000 0.4592 0.2192
Se3 0.1630 0.0336 0.7019
Se4 0.1675 0.2318 0.1840

=====

Record 2
# Ho4AlSe2, optimized geometry, DFT PBE
# - DFT total energy (eV/atom) = -5.2287
# - energy relative to the elements, uncorrected (meV per atom) = -1083
# - density (g/cm3) = 7.7
data_Ho4AlSe2
_space_group_name_H-M_alt 'C m c m'
_space_group_IT_number 63
_space_group_name_Hall '-C 2c 2'
_cell_length_a 3.9776
_cell_length_b 13.2862
_cell_length_c 13.7573
_cell_angle_alpha 90.00
_cell_angle_beta 90.00
_cell_angle_gamma 90.00
loop_
_atom_site_label
_atom_site_fract_x
_atom_site_fract_y
_atom_site_fract_z
Ho1 0.0000 0.0000 0.0000
Ho2 0.0000 0.2757 0.1260
Ho3 0.0000 0.4354 0.7500
Al1 0.0000 0.1032 0.7500
Se1 0.0000 0.3614 0.5594

=====

Record 3
# Ho2AlSe, optimized geometry, DFT PBE
# - DFT total energy (eV/atom) = -5.0909
# - energy relative to the elements, uncorrected (meV per atom) = -995
# - distance to the lowest polymorph of the same formula (eV per atom) = 0.1118
# - density (g/cm3) = 7.3
data_Ho2AlSe
_space_group_name_H-M_alt 'R -3 m'
_space_group_IT_number 166
_space_group_name_Hall '-R 3 2"'
_cell_length_a 3.8775
_cell_length_b 3.8775
_cell_length_c 22.9781
_cell_angle_alpha 90.00
_cell_angle_beta 90.00
_cell_angle_gamma 120.00
loop_
_atom_site_label
_atom_site_fract_x
_atom_site_fract_y
_atom_site_fract_z
Ho1 0.0000 0.0000 0.2456
Al1 0.0000 0.0000 0.0000
Se1 0.0000 0.0000 0.5000

=====

Record 4
# Ho2AlSe4, optimized geometry, DFT PBE
# - DFT total energy (eV/atom) = -5.2335
# - energy relative to the elements, uncorrected (meV per atom) = -1400
# - density (g/cm3) = 6.4
data_Ho2AlSe4
_space_group_name_H-M_alt 'C 1 2/m 1'
_space_group_IT_number 12
_space_group_name_Hall '-C 2y'
_cell_length_a 14.2530
_cell_length_b 3.9910
_cell_length_c 7.0665
_cell_angle_alpha 90.00
_cell_angle_beta 119.03
_cell_angle_gamma 90.00
loop_
_atom_site_label
_atom_site_fract_x
_atom_site_fract_y
_atom_site_fract_z
Ho1 0.2333 0.0000 0.2204
Al1 0.0000 0.5000 0.5000
Se1 0.1110 0.5000 0.9255
Se2 0.1219 0.0000 0.4690

=====

Record 5
# Sr2HoAlSe5, optimized geometry, DFT PBE
# - DFT total energy (eV/atom) = -4.9357
# - energy relative to the elements, uncorrected (meV per atom) = -1702
# - density (g/cm3) = 5.1
data_Sr2HoAlSe5
_space_group_name_H-M_alt 'C m c 21'
_space_group_IT_number 36
_space_group_name_Hall 'C 2c -2'
_cell_length_a 4.1082
_cell_length_b 18.5820
_cell_length_c 12.9654
_cell_angle_alpha 90.00
_cell_angle_beta 90.00
_cell_angle_gamma 90.00
loop_
_atom_site_label
_atom_site_fract_x
_atom_site_fract_y
_atom_site_fract_z
Sr1 0.0000 0.1180 0.0000
Sr2 0.0000 0.1243 0.6435
Ho1 0.0000 0.2068 0.3456
Al1 0.0000 0.4406 0.7466
Se1 0.0000 0.0447 0.3519
Se2 0.0000 0.2941 0.9934
Se3 0.0000 0.3152 0.6886
Se4 0.0000 0.3549 0.3241
Se5 0.0000 0.4988 0.0873

=====

Record 6
# SrHoAlSe4, optimized geometry, DFT PBE
# - DFT total energy (eV/atom) = -4.9547
# - energy relative to the elements, uncorrected (meV per atom) = -1535
# - density (g/cm3) = 5.2
data_SrHoAlSe4
_space_group_name_H-M_alt 'P 1 21/m 1'
_space_group_IT_number 11
_space_group_name_Hall '-P 2yb'
_cell_length_a 6.7953
_cell_length_b 7.0179
_cell_length_c 8.3384
_cell_angle_alpha 90.00
_cell_angle_beta 106.91
_cell_angle_gamma 90.00
loop_
_atom_site_label
_atom_site_fract_x
_atom_site_fract_y
_atom_site_fract_z
Sr1 0.2386 0.2500 0.0574
Ho1 0.2247 0.2500 0.5550
Al1 0.2407 0.7500 0.3225
Se1 0.0048 0.5058 0.7282
Se2 0.4407 0.7500 0.1342
Se3 0.4530 0.7500 0.6005

=====

Record 7
# Ho4AlTe2Se, optimized geometry, DFT PBE
# - DFT total energy (eV/atom) = -5.1323
# - energy relative to the elements, uncorrected (meV per atom) = -1155
# - density (g/cm3) = 7.8
data_Ho4AlTe2Se
_space_group_name_H-M_alt 'P 1 2/m 1'
_space_group_IT_number 10
_space_group_name_Hall '-P 2y'
_cell_length_a 7.3861
_cell_length_b 4.1391
_cell_length_c 7.5173
_cell_angle_alpha 90.00
_cell_angle_beta 108.45
_cell_angle_gamma 90.00
loop_
_atom_site_label
_atom_site_fract_x
_atom_site_fract_y
_atom_site_fract_z
Ho1 0.2412 0.0000 0.2301
Ho2 0.2537 0.5000 0.7771
Al1 0.0000 0.5000 0.0000
Te1 0.0000 0.0000 0.5000
Te2 0.5000 0.5000 0.5000
Se1 0.5000 0.0000 0.0000

=====

Record 8
# Ho6AlTe3Se2, optimized geometry, DFT PBE
# - DFT total energy (eV/atom) = -5.2391
# - energy relative to the elements, uncorrected (meV per atom) = -1272
# - density (g/cm3) = 8.0
data_Ho6AlTe3Se2
_space_group_name_H-M_alt 'C 1 2/m 1'
_space_group_IT_number 12
_space_group_name_Hall '-C 2y'
_cell_length_a 18.6584
_cell_length_b 4.1337
_cell_length_c 8.6505
_cell_angle_alpha 90.00
_cell_angle_beta 104.99
_cell_angle_gamma 90.00
loop_
_atom_site_label
_atom_site_fract_x
_atom_site_fract_y
_atom_site_fract_z
Ho1 0.0046 0.0000 0.2373
Ho2 0.1587 0.5000 0.0952
Ho3 0.1728 0.5000 0.5657
Al1 0.0000 0.5000 0.0000
Te1 0.0000 0.5000 0.5000
Te2 0.1692 0.0000 0.8299
Se1 0.1681 0.0000 0.3342

=====

Record 9
# Ho3AlTl4Se8, optimized geometry, DFT PBE
# - DFT total energy (eV/atom) = -4.5958
# - energy relative to the elements, uncorrected (meV per atom) = -1170
# - density (g/cm3) = 7.2
data_Ho3AlTl4Se8
_space_group_name_H-M_alt 'R -3 m'
_space_group_IT_number 166
_space_group_name_Hall '-R 3 2"'
_cell_length_a 8.1884
_cell_length_b 8.1884
_cell_length_c 23.3394
_cell_angle_alpha 90.00
_cell_angle_beta 90.00
_cell_angle_gamma 120.00
loop_
_atom_site_label
_atom_site_fract_x
_atom_site_fract_y
_atom_site_fract_z
Ho1 0.0000 0.5000 0.0000
Al1 0.0000 0.0000 0.0000
Tl1 0.0000 0.0000 0.5000
Tl2 0.0000 0.5000 0.5000
Se1 0.0000 0.0000 0.2649
Se2 0.0215 0.5108 0.7314

=====

Record 10
# HoAlTl2Se4, optimized geometry, DFT PBE
# - DFT total energy (eV/atom) = -4.2783
# - energy relative to the elements, uncorrected (meV per atom) = -904
# - density (g/cm3) = 7.1
data_HoAlTl2Se4
_space_group_name_H-M_alt 'I m m a'
_space_group_IT_number 74
_space_group_name_Hall '-I 2b 2'
_cell_length_a 8.2857
_cell_length_b 8.6370
_cell_length_c 12.0204
_cell_angle_alpha 90.00
_cell_angle_beta 90.00
_cell_angle_gamma 90.00
loop_
_atom_site_label
_atom_site_fract_x
_atom_site_fract_y
_atom_site_fract_z
Ho1 0.0000 0.0000 0.0000
Al1 0.2500 0.2500 0.2500
Tl1 0.0000 0.0000 0.5000
Tl2 0.2500 0.2500 0.7500
Se1 0.0000 0.0478 0.2400
Se2 0.2269 0.2500 0.0262

=====

Record 11
# HoAlSi2, optimized geometry, DFT PBE
# - DFT total energy (eV/atom) = -5.0769
# - energy relative to the elements, uncorrected (meV per atom) = -285
# - density (g/cm3) = 5.5
data_HoAlSi2
_space_group_name_H-M_alt 'R -3 m'
_space_group_IT_number 166
_space_group_name_Hall '-R 3 2"'
_cell_length_a 4.2673
_cell_length_b 4.2673
_cell_length_c 14.3263
_cell_angle_alpha 90.00
_cell_angle_beta 90.00
_cell_angle_gamma 120.00
loop_
_atom_site_label
_atom_site_fract_x
_atom_site_fract_y
_atom_site_fract_z
Ho1 0.0000 0.0000 0.0000
Al1 0.0000 0.0000 0.5000
Si1 0.0000 0.0000 0.2132

=====

Record 12
# HoAlSi2, optimized geometry, DFT PBE
# - DFT total energy (eV/atom) = -5.0881
# - energy relative to the elements, uncorrected (meV per atom) = -297
# - density (g/cm3) = 5.7
data_HoAlSi2
_space_group_name_H-M_alt 'P 4/m m m'
_space_group_IT_number 123
_space_group_name_Hall '-P 4 2'
_cell_length_a 4.2661
_cell_length_b 4.2661
_cell_length_c 3.9661
_cell_angle_alpha 90.00
_cell_angle_beta 90.00
_cell_angle_gamma 90.00
loop_
_atom_site_label
_atom_site_fract_x
_atom_site_fract_y
_atom_site_fract_z
Ho1 0.0000 0.0000 0.0000
Al1 0.5000 0.5000 0.0000
Si1 0.0000 0.5000 0.5000